VASP calculation (PBE-GGA) on a relaxed structure of LiCa11Sb9.

POSCAR file:
```
LiCa11Sb9
1.0
-3.8993 8.1990 7.7851
-10.2060 0.9909 -6.1555
-7.0406 -12.5189 9.6582
Ca Sb Li
44 36 4
direct
0.4805 0.8437 0.1040
0.4805 0.8437 0.8960
0.8437 0.4805 0.1040
0.0166 0.2492 0.8131
0.8437 0.4805 0.8960
0.2058 0.7942 0.5000
0.6563 0.9805 0.6040
0.0000 0.0000 0.3455
0.5195 0.1563 0.8960
0.5166 0.2508 0.3131
0.2508 0.5166 0.3131
0.3258 0.3258 0.5000
0.3437 0.0195 0.3960
0.5195 0.1563 0.1040
0.3437 0.0195 0.6040
0.7942 0.2058 0.5000
0.0195 0.3437 0.6040
0.4834 0.7492 0.6869
0.5000 0.5000 0.8455
0.9805 0.6563 0.6040
0.2942 0.2942 0.0000
0.1563 0.5195 0.1040
0.6742 0.6742 0.5000
0.7492 0.4834 0.3131
0.2492 0.0166 0.1869
0.5166 0.2508 0.6869
0.0195 0.3437 0.3960
0.9834 0.7508 0.1869
0.7508 0.9834 0.1869
0.9834 0.7508 0.8131
0.7492 0.4834 0.6869
0.5000 0.5000 0.1545
0.1563 0.5195 0.8960
0.2492 0.0166 0.8131
0.2508 0.5166 0.6869
0.0166 0.2492 0.1869
0.6563 0.9805 0.3960
0.0000 0.0000 0.6545
0.4834 0.7492 0.3131
0.7508 0.9834 0.8131
0.9805 0.6563 0.3960
0.1742 0.8258 0.0000
0.7058 0.7058 0.0000
0.8258 0.1742 0.0000
0.5328 0.1670 0.5000
0.0000 0.0000 0.1331
0.1255 0.1255 0.5000
0.8745 0.8745 0.5000
0.8150 0.1850 0.3227
0.9672 0.6670 0.0000
0.4672 0.8330 0.5000
0.0000 0.5000 0.7500
0.0000 0.5000 0.2500
0.6850 0.6850 0.1773
0.2240 0.2240 0.6771
0.7240 0.2760 0.8229
0.5000 0.0000 0.2500
0.3150 0.3150 0.1773
0.6255 0.3745 0.0000
0.1850 0.8150 0.3227
0.2760 0.7240 0.8229
0.5000 0.5000 0.6331
0.7240 0.2760 0.1771
0.3330 0.0328 0.0000
0.3745 0.6255 0.0000
0.6850 0.6850 0.8227
0.1670 0.5328 0.5000
0.5000 0.5000 0.3669
0.3150 0.3150 0.8227
0.1850 0.8150 0.6773
0.8330 0.4672 0.5000
0.7760 0.7760 0.3229
0.7760 0.7760 0.6771
0.8150 0.1850 0.6773
0.2760 0.7240 0.1771
0.6670 0.9672 0.0000
0.2240 0.2240 0.3229
0.0000 0.0000 0.8669
0.0328 0.3330 0.0000
0.5000 0.0000 0.7500
0.4032 0.5968 0.5000
0.5968 0.4032 0.5000
0.9032 0.9032 0.0000
0.0968 0.0968 0.0000
```

Properties
**Volume**: 2475.69 Å³/cell
**VASP energy**: -3.92 eV/atom
**Space-group type**: P4_2/mnm


VASP calculation (PBE-GGA) on a relaxed structure of Er4Pb2O.

POSCAR file:
```
Er4Pb2O
1.0
-1.2046 -1.3683 -4.1680
-1.4335 -3.9622 1.7151
-6.3468 5.9333 2.3690
O Er Pb
1 4 2
direct
0.0000 0.0000 0.0000
0.0000 0.5000 0.0000
0.5000 0.0000 0.0000
0.8268 0.8268 0.6536
0.1732 0.1732 0.3464
0.6404 0.6404 0.2807
0.3597 0.3597 0.7193
```

Properties
**Volume**: 174.08 Å³/cell
**VASP energy**: -5.51 eV/atom
**Space-group type**: I4/mmm


- Which value of volume does entry 2 give?
  174.08 Å³/cell


- Which of these has the highest VASP energy?
  LiCa11Sb9


Copy entry 1 word for word.
VASP calculation (PBE-GGA) on a relaxed structure of LiCa11Sb9.

POSCAR file:
```
LiCa11Sb9
1.0
-3.8993 8.1990 7.7851
-10.2060 0.9909 -6.1555
-7.0406 -12.5189 9.6582
Ca Sb Li
44 36 4
direct
0.4805 0.8437 0.1040
0.4805 0.8437 0.8960
0.8437 0.4805 0.1040
0.0166 0.2492 0.8131
0.8437 0.4805 0.8960
0.2058 0.7942 0.5000
0.6563 0.9805 0.6040
0.0000 0.0000 0.3455
0.5195 0.1563 0.8960
0.5166 0.2508 0.3131
0.2508 0.5166 0.3131
0.3258 0.3258 0.5000
0.3437 0.0195 0.3960
0.5195 0.1563 0.1040
0.3437 0.0195 0.6040
0.7942 0.2058 0.5000
0.0195 0.3437 0.6040
0.4834 0.7492 0.6869
0.5000 0.5000 0.8455
0.9805 0.6563 0.6040
0.2942 0.2942 0.0000
0.1563 0.5195 0.1040
0.6742 0.6742 0.5000
0.7492 0.4834 0.3131
0.2492 0.0166 0.1869
0.5166 0.2508 0.6869
0.0195 0.3437 0.3960
0.9834 0.7508 0.1869
0.7508 0.9834 0.1869
0.9834 0.7508 0.8131
0.7492 0.4834 0.6869
0.5000 0.5000 0.1545
0.1563 0.5195 0.8960
0.2492 0.0166 0.8131
0.2508 0.5166 0.6869
0.0166 0.2492 0.1869
0.6563 0.9805 0.3960
0.0000 0.0000 0.6545
0.4834 0.7492 0.3131
0.7508 0.9834 0.8131
0.9805 0.6563 0.3960
0.1742 0.8258 0.0000
0.7058 0.7058 0.0000
0.8258 0.1742 0.0000
0.5328 0.1670 0.5000
0.0000 0.0000 0.1331
0.1255 0.1255 0.5000
0.8745 0.8745 0.5000
0.8150 0.1850 0.3227
0.9672 0.6670 0.0000
0.4672 0.8330 0.5000
0.0000 0.5000 0.7500
0.0000 0.5000 0.2500
0.6850 0.6850 0.1773
0.2240 0.2240 0.6771
0.7240 0.2760 0.8229
0.5000 0.0000 0.2500
0.3150 0.3150 0.1773
0.6255 0.3745 0.0000
0.1850 0.8150 0.3227
0.2760 0.7240 0.8229
0.5000 0.5000 0.6331
0.7240 0.2760 0.1771
0.3330 0.0328 0.0000
0.3745 0.6255 0.0000
0.6850 0.6850 0.8227
0.1670 0.5328 0.5000
0.5000 0.5000 0.3669
0.3150 0.3150 0.8227
0.1850 0.8150 0.6773
0.8330 0.4672 0.5000
0.7760 0.7760 0.3229
0.7760 0.7760 0.6771
0.8150 0.1850 0.6773
0.2760 0.7240 0.1771
0.6670 0.9672 0.0000
0.2240 0.2240 0.3229
0.0000 0.0000 0.8669
0.0328 0.3330 0.0000
0.5000 0.0000 0.7500
0.4032 0.5968 0.5000
0.5968 0.4032 0.5000
0.9032 0.9032 0.0000
0.0968 0.0968 0.0000
```

Properties
**Volume**: 2475.69 Å³/cell
**VASP energy**: -3.92 eV/atom
**Space-group type**: P4_2/mnm


- The highest VASP energy belongs to which entry?
  LiCa11Sb9